The following is a PBE-GGA calculation of crystalline AcTl3Ag3 at its relaxed geometry, from the Alexandria database.

a b c (Å): 7.6940 7.6940 7.6940
angles (deg): 90.00 90.00 90.00
Sites, in units of the cell vectors:
Ac1 0.5000 0.5000 0.5000
Ac2 0.0000 0.0000 0.0000
Tl1 0.2500 0.0000 0.5000
Tl2 0.0000 0.5000 0.2500
Tl3 0.5000 0.7500 0.0000
Tl4 0.7500 0.0000 0.5000
Tl5 0.0000 0.5000 0.7500
Tl6 0.5000 0.2500 0.0000
Ag1 0.0000 0.2500 0.5000
Ag2 0.0000 0.7500 0.5000
Ag3 0.5000 0.0000 0.7500
Ag4 0.7500 0.5000 0.0000
Ag5 0.5000 0.0000 0.2500
Ag6 0.2500 0.5000 0.0000

Summary:
Space-group type: No. 223
N(E_F), states/eV/atom: 0.8613
M_tot, μB per formula unit: 0.00
Crystal system: cubic
Volume, Å³ per atom: 32.534
DFT total energy, eV per atom: -2.497